Version P
RbNaP2Os: relaxed, PBE.

Space group: P4/mmm, No. 123
Crystal system: tetragonal

a = 5.356 Å, b = 4.909 Å, c = 5.356 Å
α = 90.00°, β = 90.00°, γ = 90.00°
Element x y z (fractional)
1 P 0.500 0.000 0.000
2 P 0.000 0.000 0.500
3 Rb 0.000 0.000 0.000
4 Na 0.000 0.500 0.000
5 Os 0.500 0.500 0.500



Version Q
RbNaP2Os: relaxed, PBE.

Space group: P4/mmm, No. 123
Crystal system: tetragonal

a = 4.614 Å, b = 6.209 Å, c = 4.614 Å
α = 90.00°, β = 90.00°, γ = 90.00°
Element x y z (fractional)
1 P 0.500 0.000 0.000
2 Na 0.500 0.500 0.500
3 Rb 0.000 0.500 0.000
4 P 0.000 0.000 0.500
5 Os 0.000 0.000 0.000



Stability check: which of them is most stable? version Q.



Version P
NaOs3Pb: relaxed, PBE.

Space group: Pm-3m, No. 221
Crystal system: cubic

a = 5.071 Å, b = 5.071 Å, c = 5.071 Å
α = 90.00°, β = 90.00°, γ = 90.00°
Element x y z (fractional)
1 Os 0.500 0.000 0.000
2 Os 0.000 0.500 0.000
3 Pb 0.000 0.000 0.000
4 Os 0.000 0.000 0.500
5 Na 0.500 0.500 0.500



Version Q
NaOs3Pb: relaxed, PBE.

Space group: Pm-3m, No. 221
Crystal system: cubic

a = 4.581 Å, b = 4.581 Å, c = 4.581 Å
α = 90.00°, β = 90.00°, γ = 90.00°
Element x y z (fractional)
1 Os 0.000 0.500 0.000
2 Na 0.000 0.000 0.000
3 Pb 0.500 0.500 0.500
4 Os 0.000 0.000 0.500
5 Os 0.500 0.000 0.000



Stability check: which of them is most stable? version P.